# 1
La2MgGeAu6: optimized geometry, PBE.

a b c (Å): 8.6161 5.2424 5.7060
angles (deg): 78.56 70.14 103.91
Last column: nearest neighbours and their distance in Å.
Fractional positions:
Au  0.4080  0.2236  0.5268  1 Mg 2.80, 4 Au 2.85-3.14, 2 La 3.09-3.14
Mg  0.5000  0.5000  0.0000  6 Au 2.74-2.80
Ge  0.0000  0.0000  0.0000  2 Au 2.70
Au  0.5920  0.7764  0.4732  1 Mg 2.80, 4 Au 2.85-3.14, 2 La 3.09-3.14
Au  0.6845  0.1385  0.9669  1 Mg 2.75, 3 Au 2.85-3.02, 1 Ge 3.03
La  0.1861  0.6182  0.6430  7 Au 3.09-3.19, 2 Ge 3.14-3.42
Au  0.8500  0.7779  0.7085  1 Ge 2.70, 1 Mg 2.74, 3 Au 2.92-2.96
Au  0.3155  0.8615  0.0331  1 Mg 2.75, 3 Au 2.85-3.02, 1 Ge 3.03
Au  0.1500  0.2221  0.2915  1 Ge 2.70, 1 Mg 2.74, 3 Au 2.92-2.96
La  0.8139  0.3818  0.3570  7 Au 3.09-3.19, 2 Ge 3.14-3.42

Values from the calculation:
raw total energy: -4.140 eV per atom
total moment: 0.000 Bohr magnetons per cell
calculated formation energy: -567 meV per atom

***

# 2
LaMg2GeAu4: optimized geometry, PBE.

a b c (Å): 4.5394 4.5394 9.8821
angles (deg): 76.72 76.72 60.00
Last column: nearest neighbours and their distance in Å.
Fractional positions:
La  0.0000  0.0000  0.0000  6 Au 3.16
Au  0.3950  0.3950  0.8151  3 Mg 2.79, 1 Ge 3.00
Au  0.6050  0.6050  0.1849  3 Mg 2.79, 1 Ge 3.00
Au  0.1275  0.1275  0.6174  3 Mg 2.78, 3 Ge 2.85
Mg  0.2378  0.2378  0.2865  6 Au 2.78-2.79
Mg  0.7622  0.7622  0.7135  6 Au 2.78-2.79
Au  0.8725  0.8725  0.3826  3 Mg 2.78, 3 Ge 2.85
Ge  0.5000  0.5000  0.5000  8 Au 2.85-3.00

Values from the calculation:
raw total energy: -3.750 eV per atom
total moment: 0.000 Bohr magnetons per cell
calculated formation energy: -519 meV per atom

***

# 3
LaGeMoAu2: optimized geometry, PBE.

a b c (Å): 5.3494 5.4617 5.3494
angles (deg): 90.00 90.00 90.00
Last column: nearest neighbours and their distance in Å.
Fractional positions:
Au  0.0000  0.0000  0.5000  2 La 2.67
Mo  0.5000  0.5000  0.5000  4 Ge 3.78, 8 Au 3.82
Ge  0.0000  0.5000  0.0000  2 La 2.73
Au  0.5000  0.0000  0.0000  2 La 2.67
La  0.0000  0.0000  0.0000  4 Au 2.67, 2 Ge 2.73

Values from the calculation:
raw total energy: -3.734 eV per atom
total moment: 0.355 Bohr magnetons per cell
calculated formation energy: 1652 meV per atom

***

# 4
NaLa2Ge4Au3: optimized geometry, PBE.

a b c (Å): 4.4844 4.4844 11.0257
angles (deg): 90.00 90.00 90.00
Last column: nearest neighbours and their distance in Å.
Fractional positions:
Au  0.5000  0.0000  0.8737  5 Ge 2.52-2.64
Ge  0.5000  0.5000  0.0000  4 Au 2.64
La  0.5000  0.0000  0.2421  8 Ge 3.41-3.49, 6 Au 3.42-3.62, 2 Na 3.62
Ge  0.0000  0.0000  0.0000  4 Au 2.64
Ge  0.0000  0.5000  0.3552  3 Au 2.52-2.75, 2 Na 2.75
Au  0.0000  0.5000  0.1263  5 Ge 2.52-2.64
Ge  0.5000  0.0000  0.6448  3 Au 2.52-2.75, 2 Na 2.75
Na  0.5000  0.5000  0.5000  4 Ge 2.75
La  0.0000  0.5000  0.7579  8 Ge 3.41-3.49, 6 Au 3.42-3.62, 2 Na 3.62
Au  0.0000  0.0000  0.5000  4 Ge 2.75

Values from the calculation:
raw total energy: -4.476 eV per atom
total moment: 0.000 Bohr magnetons per cell
calculated formation energy: -529 meV per atom

***

Q: Look up the raw total energy of the first one.
A: -4.140 eV per atom